[1]
Compound: Ti4Nb10W
Source: Alexandria via LeMat-Bulk
Functional: PBE-GGA
Structure: relaxed

**E_form**: 827.7 meV per atom
**Total magnetic moment**: 0.0 μB per cell
**E**: -132.81 eV/f.u.

```
Ti4Nb10W
1.0
0.595 4.439 4.402
4.557 -1.914 5.793
5.734 4.865 -1.201
Ti Nb W
4 10 1
Direct
0.400 0.801 0.399
0.799 0.601 0.801
0.201 0.399 0.199
0.600 0.199 0.601
0.250 0.500 0.500
0.651 0.302 0.898
0.047 0.102 0.302
0.451 0.898 0.698
0.851 0.698 0.102
0.349 0.698 0.102
0.750 0.500 0.500
0.149 0.302 0.898
0.549 0.102 0.302
0.953 0.898 0.698
0.000 0.000 0.000
```

***

[2]
Compound: Ti2Nb4W
Source: Alexandria via LeMat-Bulk
Functional: PBE-GGA
Structure: relaxed

**E_form**: 327.2 meV per atom
**Total magnetic moment**: 0.0 μB per cell
**E**: -66.73 eV/f.u.

```
Ti2Nb4W
1.0
2.703 0.000 0.000
0.000 4.935 0.000
0.000 -2.468 9.578
Ti Nb W
2 4 1
Direct
0.500 0.209 0.419
0.500 0.791 0.581
0.500 0.360 0.720
0.000 0.925 0.850
0.500 0.640 0.280
0.000 0.075 0.150
0.000 0.500 0.000
```